(1)
Computed, not measured: a geometry-optimized Ho8CdRu2 structure at the PBE level of DFT.

Cell and atoms, written as CIF:
```
data_Ho8CdRu2
_symmetry_space_group_name_H-M 'I m m 2'
_symmetry_Int_Tables_number 44
_cell_length_a 5.264
_cell_length_b 15.796
_cell_length_c 6.873
_cell_angle_alpha 90.00
_cell_angle_beta 90.00
_cell_angle_gamma 90.00
loop_
_symmetry_equiv_pos_as_xyz
'x,y,z'
'-x,-y,z'
'-x,y,z'
'x,-y,z'
'x+1/2,y+1/2,z+1/2'
'-x+1/2,-y+1/2,z+1/2'
'-x+1/2,y+1/2,z+1/2'
'x+1/2,-y+1/2,z+1/2'
loop_
_atom_site_label
_atom_site_fract_x
_atom_site_fract_y
_atom_site_fract_z
_atom_site_occupancy
Ho1 0.000 0.000 0.000 1
Ho2 0.000 0.110 0.460 1
Ho3 0.000 0.289 0.132 1
Ho4 0.000 0.334 0.596 1
Ho5 0.000 0.500 0.225 1
Cd1 0.000 0.500 0.798 1
Ru1 0.000 0.171 0.825 1
```

* size of the total moment: 0.00 Bohr magnetons per cell
* calculated density: 9.50 g/cm3
* energy above the most stable polymorph in this dataset: 0 meV/atom
* ΔH_f (0 K): -229 meV/atom


(2)
Computed, not measured: a geometry-optimized Ho2Cd2Ru structure at the PBE level of DFT.

Cell and atoms, written as CIF:
```
data_Ho2Cd2Ru
_symmetry_space_group_name_H-M 'I 4/m m m'
_symmetry_Int_Tables_number 139
_symmetry_space_group_name_Hall '-I 4 2'
_cell_length_a 3.405
_cell_length_b 3.405
_cell_length_c 19.610
_cell_angle_alpha 90.00
_cell_angle_beta 90.00
_cell_angle_gamma 90.00
loop_
_atom_site_label
_atom_site_fract_x
_atom_site_fract_y
_atom_site_fract_z
_atom_site_occupancy
Ho1 0.000 0.000 0.084 1
Cd1 0.000 0.000 0.298 1
Ru1 0.000 0.000 0.500 1
```

* size of the total moment: 0.00 Bohr magnetons per cell
* calculated density: 9.58 g/cm3
* ΔH_f (0 K): -369 meV/atom


- Look up the calculated density of the second one.
  9.58 g/cm3